This record from Alexandria describes a relaxed PrHoGeS crystal. The functional is PBE-GGA.

a b c (Å): 4.128 4.128 7.182
angles (deg): 73.30 73.30 60.00
Positions (direct):
1 Ge 0.940 0.940 0.180
2 Ho 0.194 0.194 0.419
3 Pr 0.694 0.694 0.918
4 S 0.449 0.449 0.653

Output
- Symmetry: R3m
- Density: 6.82 g cm⁻³
- Energy relative to the elements, uncorrected: -5.71 eV per formula unit
- Spin magnetization: 0.00 μB per cell
- Crystal system: trigonal

=====

This record from Alexandria describes a relaxed PrHo2Zn2Ge2 crystal. The functional is PBE-GGA.

a b c (Å): 4.160 4.160 11.488
angles (deg): 79.57 79.57 60.00
Positions (direct):
1 Ge 0.264 0.264 0.209
2 Ge 0.736 0.736 0.791
3 Zn 0.606 0.606 0.183
4 Zn 0.394 0.394 0.817
5 Pr 0.000 0.000 0.000
6 Ho 0.876 0.876 0.373
7 Ho 0.124 0.124 0.627

Output
- Symmetry: R-3m
- Density: 7.37 g cm⁻³
- Spin magnetization: 0.00 μB per cell
- Crystal system: trigonal
- E_form: -452 meV/atom

=====

This record from Alexandria describes a relaxed Ho2Ge3Pt9 crystal. The functional is PBE-GGA.

a b c (Å): 7.808 7.808 10.109
angles (deg): 67.12 67.12 60.29
Positions (direct):
1 Ge 0.819 0.360 0.503
2 Ge 0.360 0.819 0.003
3 Ge 0.181 0.640 0.497
4 Ge 0.640 0.181 0.997
5 Ge 0.500 0.000 0.500
6 Ge 0.000 0.500 0.000
7 Pt 0.913 0.298 0.258
8 Pt 0.025 0.204 0.921
9 Pt 0.702 0.087 0.242
10 Pt 0.859 0.695 0.420
11 Pt 0.305 0.141 0.080
12 Pt 0.975 0.796 0.079
13 Pt 0.695 0.859 0.920
14 Pt 0.298 0.913 0.758
15 Pt 0.796 0.975 0.579
16 Pt 0.204 0.025 0.421
17 Pt 0.087 0.702 0.742
18 Pt 0.522 0.359 0.423
19 Pt 0.478 0.641 0.577
20 Pt 0.359 0.522 0.923
21 Pt 0.641 0.478 0.077
22 Pt 0.141 0.305 0.580
23 Pt 0.134 0.866 0.250
24 Pt 0.866 0.134 0.750
25 Ho 0.416 0.246 0.751
26 Ho 0.584 0.754 0.249
27 Ho 0.754 0.584 0.749
28 Ho 0.246 0.416 0.251

Output
- Symmetry: C2/c
- Density: 16.00 g cm⁻³
- Spin magnetization: 0.00 μB per cell
- Crystal system: monoclinic
- E_form: -801 meV/atom

=====

This record from Alexandria describes a relaxed Ho2Ge3Pt2 crystal. The functional is PBE-GGA.

a b c (Å): 4.197 7.054 9.361
angles (deg): 90.00 102.95 90.00
Positions (direct):
1 Ho 0.845 0.750 0.690
2 Ho 0.054 0.750 0.109
3 Ho 0.155 0.250 0.310
4 Ho 0.946 0.250 0.891
5 Ge 0.224 0.750 0.447
6 Ge 0.437 0.566 0.875
7 Ge 0.563 0.066 0.125
8 Ge 0.776 0.250 0.553
9 Ge 0.563 0.434 0.125
10 Ge 0.437 0.934 0.875
11 Pt 0.694 0.546 0.387
12 Pt 0.694 0.954 0.387
13 Pt 0.306 0.454 0.613
14 Pt 0.306 0.046 0.613

Output
- Symmetry: Cmcm
- Density: 11.53 g cm⁻³
- Spin magnetization: 0.00 μB per cell
- Crystal system: orthorhombic
- E_form: -890 meV/atom

=====

- Which formula does entry 3 have?
  Ho2Ge3Pt9

=====

- Which of these has the highest density?
  Ho2Ge3Pt9